Record 1
# Ca2ErCrN4 | Alexandria | GGA-PBE | optimized geometry
data_Ca2ErCrN4
_cell_length_a 5.111
_cell_length_b 6.734
_cell_length_c 7.202
_cell_angle_alpha 90.00
_cell_angle_beta 90.00
_cell_angle_gamma 90.00
_space_group_name_H-M_alt 'P 1'
_space_group_IT_number 1
_space_group_name_Hall 'P 1'
loop_
_atom_site_label
_atom_site_fract_x
_atom_site_fract_y
_atom_site_fract_z
N1 0.347 0.173 0.000
Ca1 0.955 0.663 0.245
N2 0.847 0.827 0.500
N3 0.430 0.699 0.720
Er1 0.962 0.133 0.500
N4 0.430 0.699 0.280
Cr1 0.501 0.828 0.500
N5 0.421 0.093 0.500
N6 0.930 0.301 0.220
Cr2 0.001 0.172 0.000
N7 0.921 0.907 0.000
Ca2 0.955 0.663 0.755
Er2 0.462 0.867 0.000
N8 0.930 0.301 0.780
Ca3 0.455 0.337 0.745
Ca4 0.455 0.337 0.255
# M_tot ... 0.13 μB per atom
# Energy relative to the elements, uncorrected ... -1002 meV per atom
# DOS at the Fermi energy ... 8.45 states/eV per cell
# E_tot ... -119.0 eV per cell
# Space group ... Pmn2_1

=====

Record 2
# CaEr2CrN4 | Alexandria | GGA-PBE | optimized geometry
data_CaEr2CrN4
_cell_length_a 3.374
_cell_length_b 6.019
_cell_length_c 11.599
_cell_angle_alpha 90.00
_cell_angle_beta 90.00
_cell_angle_gamma 106.27
_space_group_name_H-M_alt 'P 1'
_space_group_IT_number 1
_space_group_name_Hall 'P 1'
loop_
_atom_site_label
_atom_site_fract_x
_atom_site_fract_y
_atom_site_fract_z
Er1 0.370 0.740 0.959
N1 0.000 0.000 0.500
Ca1 0.096 0.192 0.750
Er2 0.630 0.260 0.459
N2 0.000 0.000 0.000
N3 0.739 0.477 0.624
Ca2 0.904 0.808 0.250
Cr1 0.828 0.657 0.750
N4 0.261 0.523 0.376
N5 0.587 0.175 0.250
N6 0.261 0.523 0.124
N7 0.739 0.477 0.876
Er3 0.630 0.260 0.041
Er4 0.370 0.740 0.541
Cr2 0.172 0.343 0.250
N8 0.413 0.825 0.750
# M_tot ... 0.23 μB per atom
# Energy relative to the elements, uncorrected ... -1217 meV per atom
# DOS at the Fermi energy ... 4.12 states/eV per cell
# E_tot ... -127.6 eV per cell
# Space group ... Cmcm